[1]
Here is LaTb6Mg after structural relaxation from the Alexandria database. Energies are from PBE-GGA.

Unit cell a=7.107 b=7.107 c=7.000 alpha=104.61 beta=104.61 gamma=121.39
Last column: magnetic moment on the atom in μB.
Atoms (fractional coordinates):
Tb: 0.511 0.962 0.748  0.10
Tb: 0.744 0.744 0.256  0.29
La: 0.000 0.000 0.000  0.34
Mg: 0.500 0.500 0.500  0.01
Tb: 0.489 0.038 0.252  0.10
Tb: 0.038 0.489 0.252  0.10
Tb: 0.256 0.256 0.744  0.29
Tb: 0.962 0.511 0.748  0.10

Calculated values
- N(E_F) (states/eV/f.u.) = 13.675
- magnetic moment (Bohr magnetons per cell) = 1.801
- formation enthalpy at 0 K (eV per atom) = 0.345
- E (eV per atom) = -3.943
- symmetry = C2/m (12)

[2]
Here is La9TbMg2 after structural relaxation from the Alexandria database. Energies are from PBE-GGA.

Unit cell a=5.157 b=5.157 c=15.461 alpha=90.00 beta=90.00 gamma=90.00
Atoms (fractional coordinates):
La: 0.000 0.500 0.500
La: 0.500 0.000 0.831
Mg: 0.000 0.000 0.664
La: 0.500 0.500 0.334
La: 0.500 0.000 0.169
La: 0.000 0.500 0.169
Mg: 0.000 0.000 0.336
La: 0.500 0.500 0.666
La: 0.500 0.000 0.500
La: 0.000 0.500 0.831
Tb: 0.000 0.000 0.000
La: 0.500 0.500 0.000

Calculated values
- N(E_F) (states/eV/f.u.) = 16.888
- magnetic moment (Bohr magnetons per cell) = 0.000
- formation enthalpy at 0 K (eV per atom) = -0.013
- E (eV per atom) = -4.361
- symmetry = P4/mmm (123)